Record 1
{
  "formula": "Zn2CdHg",
  "functional": "SCAN",
  "state": "single point on PBEsol structure",
  "mass_density_g_cm3": 10.3,
  "de_polymorph_mev_per_atom": 54,
  "sg": "I-4m2, No. 119",
  "ef_ev_per_fu": 0.6,
  "total_magnetization_mub_per_cell": 0.00,
  "lattice_angstrom": [[-2.061, 2.061, 4.226], [2.061, -2.061, 4.226], [2.061, 2.061, -4.226]],
  "species": ["Zn", "Zn", "Cd", "Hg"],
  "fractional_positions": [[0.000, 0.000, 0.000], [0.750, 0.250, 0.500], [0.500, 0.500, 0.000], [0.250, 0.750, 0.500]]
}

Record 2
{
  "formula": "ZnCd2Hg",
  "functional": "SCAN",
  "state": "single point on PBEsol structure",
  "mass_density_g_cm3": 10.1,
  "de_polymorph_mev_per_atom": 42,
  "sg": "P4/mmm, No. 123",
  "ef_ev_per_fu": 0.4,
  "total_magnetization_mub_per_cell": 0.00,
  "lattice_angstrom": [[5.320, 0.000, 0.000], [0.000, 5.320, 0.000], [0.000, 0.000, 2.850]],
  "species": ["Zn", "Cd", "Cd", "Hg"],
  "fractional_positions": [[0.000, 0.000, 0.000], [0.000, 0.500, 0.500], [0.500, 0.000, 0.500], [0.500, 0.500, 0.000]]
}

Record 3
{
  "formula": "ZnCd2Hg",
  "functional": "SCAN",
  "state": "single point on PBEsol structure",
  "mass_density_g_cm3": 10.3,
  "de_polymorph_mev_per_atom": 38,
  "sg": "Cmmm, No. 65",
  "ef_ev_per_fu": 0.4,
  "total_magnetization_mub_per_cell": 0.00,
  "lattice_angstrom": [[2.964, -4.245, 0.000], [2.964, 4.245, 0.000], [0.000, 0.000, 3.138]],
  "species": ["Zn", "Cd", "Cd", "Hg"],
  "fractional_positions": [[0.000, 0.000, 0.000], [0.000, 0.500, 0.500], [0.500, 0.000, 0.500], [0.500, 0.500, 0.000]]
}

Record 4
{
  "formula": "ZnCdHg2",
  "functional": "SCAN",
  "state": "single point on PBEsol structure",
  "mass_density_g_cm3": 11.8,
  "de_polymorph_mev_per_atom": 24,
  "sg": "Pmm2, No. 25",
  "ef_ev_per_fu": 0.3,
  "total_magnetization_mub_per_cell": 0.00,
  "lattice_angstrom": [[3.672, 0.000, 0.000], [0.000, 3.949, 0.000], [0.000, 0.000, 5.605]],
  "species": ["Zn", "Cd", "Hg", "Hg"],
  "fractional_positions": [[0.000, 0.000, 0.000], [0.500, 0.500, 0.267], [0.000, 0.000, 0.501], [0.500, 0.500, 0.778]]
}

Record 5
{
  "formula": "ZnCdHg2",
  "functional": "SCAN",
  "state": "single point on PBEsol structure",
  "mass_density_g_cm3": 12.0,
  "de_polymorph_mev_per_atom": 68,
  "sg": "I4/mmm, No. 139",
  "ef_ev_per_fu": 0.5,
  "total_magnetization_mub_per_cell": 0.00,
  "lattice_angstrom": [[-2.175, 2.175, 4.239], [2.175, -2.175, 4.239], [2.175, 2.175, -4.239]],
  "species": ["Zn", "Cd", "Hg", "Hg"],
  "fractional_positions": [[0.000, 0.000, 0.000], [0.500, 0.500, 0.000], [0.250, 0.750, 0.500], [0.750, 0.250, 0.500]]
}

Record 6
{
  "formula": "ZnCd2Hg",
  "functional": "SCAN",
  "state": "single point on PBEsol structure",
  "mass_density_g_cm3": 10.3,
  "de_polymorph_mev_per_atom": 34,
  "sg": "P4/mmm, No. 123",
  "ef_ev_per_fu": 0.4,
  "total_magnetization_mub_per_cell": 0.00,
  "lattice_angstrom": [[4.299, 0.000, 0.000], [0.000, 4.299, 0.000], [0.000, 0.000, 4.269]],
  "species": ["Zn", "Cd", "Cd", "Hg"],
  "fractional_positions": [[0.000, 0.000, 0.000], [0.000, 0.500, 0.500], [0.500, 0.000, 0.500], [0.500, 0.500, 0.000]]
}

Repeat the third record exactly.
{
  "formula": "ZnCd2Hg",
  "functional": "SCAN",
  "state": "single point on PBEsol structure",
  "mass_density_g_cm3": 10.3,
  "de_polymorph_mev_per_atom": 38,
  "sg": "Cmmm, No. 65",
  "ef_ev_per_fu": 0.4,
  "total_magnetization_mub_per_cell": 0.00,
  "lattice_angstrom": [[2.964, -4.245, 0.000], [2.964, 4.245, 0.000], [0.000, 0.000, 3.138]],
  "species": ["Zn", "Cd", "Cd", "Hg"],
  "fractional_positions": [[0.000, 0.000, 0.000], [0.000, 0.500, 0.500], [0.500, 0.000, 0.500], [0.500, 0.500, 0.000]]
}